Entry 1:
Material: GdPbS2
Method: DFT, PBE
State: optimized geometry

Values from the calculation:
**M_tot**: 0.0 Bohr magnetons per cell

a b c (Å): 4.094 4.094 5.818
angles (deg): 90.00 90.00 90.00
Element x y z (fractional)
Gd  0.000  0.000  0.000
Pb  0.500  0.500  0.500
S  0.000  0.000  0.500
S  0.500  0.500  0.000

---

Entry 2:
Material: GdSnPbS3
Method: DFT, PBE
State: optimized geometry

Values from the calculation:
**M_tot**: 0.0 Bohr magnetons per cell

a b c (Å): 7.653 7.653 11.240
angles (deg): 90.00 90.00 150.38
Element x y z (fractional)
Gd  0.000  0.000  0.000
Gd  0.000  0.000  0.500
Sn  0.354  0.646  0.750
Sn  0.646  0.354  0.250
Pb  0.338  0.662  0.250
Pb  0.662  0.338  0.750
S  0.009  0.991  0.250
S  0.371  0.629  0.504
S  0.371  0.629  0.996
S  0.629  0.371  0.004
S  0.629  0.371  0.496
S  0.991  0.009  0.750

---

no.,DFT total energy (eV per atom)
1,-5.30
2,-5.10